# 1
## FeReAg2 (PBE-GGA)

Data for a relaxed FeReAg2 crystal.

Results
The excess energy over the best structure of this formula in the dataset is 0.008 eV per atom. As for the total energy: -25.2 eV/cell. Its space-group type is Cmm2 (35). As for the total moment: 2.50 μB per formula unit. The volume is 15.695 Å³ per atom.

```
FeReAg2
1.0
1.5156 -2.2446 0.0000
1.5156 2.2446 0.0000
0.0000 0.0000 9.2272
Fe Re Ag
1 1 2
Direct
0.0000 0.0000 0.0000
0.5000 0.5000 0.7872
0.0000 0.0000 0.5179
0.5000 0.5000 0.2483
```

=====

# 2
## Fe2ReAg (PBE-GGA)

Data for a relaxed Fe2ReAg crystal.

Results
The excess energy over the best structure of this formula in the dataset is 0.123 eV per atom. As for the total energy: -30.5 eV/cell. Its space-group type is Cm (8). As for the total moment: 3.93 μB per formula unit. The volume is 13.775 Å³ per atom.

```
Fe2ReAg
1.0
4.5850 -1.3627 0.0000
4.5850 1.3627 0.0000
-1.2665 0.0000 4.4093
Fe Re Ag
2 1 1
Direct
0.0000 0.0000 0.0000
0.7166 0.7166 0.2738
0.2517 0.2517 0.8123
0.4771 0.4771 0.4889
```

=====

# 3
## Fe2Re2Ag (PBE-GGA)

Data for a relaxed Fe2Re2Ag crystal.

Results
The excess energy over the best structure of this formula in the dataset is 0.000 eV per atom. As for the total energy: -86.2 eV/cell. Its space-group type is P4/mbm (127). As for the total moment: 0.00 μB per formula unit. The volume is 13.894 Å³ per atom.

```
Fe2Re2Ag
1.0
7.2197 0.0000 0.0000
0.0000 7.2197 0.0000
0.0000 0.0000 2.6655
Fe Re Ag
4 4 2
Direct
0.1252 0.3748 0.0000
0.3748 0.8748 0.0000
0.6252 0.1252 0.0000
0.8748 0.6252 0.0000
0.1641 0.6641 0.5000
0.3359 0.1641 0.5000
0.6641 0.8359 0.5000
0.8359 0.3359 0.5000
0.0000 0.0000 0.0000
0.5000 0.5000 0.0000
```

=====

# 4
## Fe2Re2Ag (PBE-GGA)

Data for a relaxed Fe2Re2Ag crystal.

Results
The excess energy over the best structure of this formula in the dataset is 0.049 eV per atom. As for the total energy: -85.7 eV/cell. Its space-group type is P4/mbm (127). As for the total moment: 1.20 μB per formula unit. The volume is 14.327 Å³ per atom.

```
Fe2Re2Ag
1.0
7.3820 0.0000 0.0000
0.0000 7.3820 0.0000
0.0000 0.0000 2.6292
Fe Re Ag
4 4 2
Direct
0.1658 0.3342 0.0000
0.3342 0.8342 0.0000
0.6658 0.1658 0.0000
0.8342 0.6658 0.0000
0.1244 0.6244 0.5000
0.3756 0.1244 0.5000
0.6244 0.8756 0.5000
0.8756 0.3756 0.5000
0.0000 0.0000 0.5000
0.5000 0.5000 0.5000
```

=====

# 5
## Fe2ReAg (PBE-GGA)

Data for a relaxed Fe2ReAg crystal.

Results
The excess energy over the best structure of this formula in the dataset is 0.029 eV per atom. As for the total energy: -30.9 eV/cell. Its space-group type is Cmm2 (35). As for the total moment: 4.86 μB per formula unit. The volume is 14.226 Å³ per atom.

```
Fe2ReAg
1.0
1.5033 -2.1591 0.0000
1.5033 2.1591 0.0000
0.0000 0.0000 8.7654
Fe Re Ag
2 1 1
Direct
0.0000 0.0000 0.0000
0.5000 0.5000 0.2179
0.0000 0.0000 0.4518
0.5000 0.5000 0.7383
```

=====

# 6
## Fe2ReAg (PBE-GGA)

Data for a relaxed Fe2ReAg crystal.

Results
The excess energy over the best structure of this formula in the dataset is 0.185 eV per atom. As for the total energy: -30.3 eV/cell. Its space-group type is P4/mmm (123). As for the total moment: 5.00 μB per formula unit. The volume is 14.100 Å³ per atom.

```
Fe2ReAg
1.0
4.5168 0.0000 0.0000
0.0000 4.5168 0.0000
0.0000 0.0000 2.7645
Fe Re Ag
2 1 1
Direct
0.0000 0.5000 0.0000
0.5000 0.0000 0.0000
0.0000 0.0000 0.5000
0.5000 0.5000 0.5000
```

=====

# 7
## Fe2ReAg (PBE-GGA)

Data for a relaxed Fe2ReAg crystal.

Results
The excess energy over the best structure of this formula in the dataset is 0.606 eV per atom. As for the total energy: -57.2 eV/cell. Its space-group type is I-42d (122). As for the total moment: 0.00 μB per formula unit. The volume is 14.907 Å³ per atom.

```
Fe2ReAg
1.0
-3.3222 3.3222 2.7012
3.3222 -3.3222 2.7012
3.3222 3.3222 -2.7012
Fe Re Ag
4 2 2
Direct
0.0851 0.6250 0.9601
0.3750 0.3351 0.4601
0.6649 0.1250 0.0399
0.8750 0.9149 0.5399
0.0000 0.0000 0.0000
0.7500 0.2500 0.5000
0.2500 0.7500 0.5000
0.5000 0.5000 0.0000
```

=====

# 8
## Fe2ReAg (PBE-GGA)

Data for a relaxed Fe2ReAg crystal.

Results
The excess energy over the best structure of this formula in the dataset is 0.110 eV per atom. As for the total energy: -30.6 eV/cell. Its space-group type is Pmm2 (25). As for the total moment: 4.08 μB per formula unit. The volume is 14.067 Å³ per atom.

```
Fe2ReAg
1.0
2.6902 0.0000 0.0000
0.0000 3.6648 0.0000
0.0000 0.0000 5.7072
Fe Re Ag
2 1 1
Direct
0.0000 0.0000 0.0000
0.5000 0.5000 0.2219
0.0000 0.0000 0.4236
0.5000 0.5000 0.7324
```

=====

# 9
## Fe2ReAg (PBE-GGA)

Data for a relaxed Fe2ReAg crystal.

Results
The excess energy over the best structure of this formula in the dataset is 0.280 eV per atom. As for the total energy: -29.9 eV/cell. Its space-group type is Fm-3m (225). As for the total moment: 0.00 μB per formula unit. The volume is 13.199 Å³ per atom.

```
Fe2ReAg
1.0
0.0000 2.9775 2.9775
2.9775 0.0000 2.9775
2.9775 2.9775 0.0000
Fe Re Ag
2 1 1
Direct
0.2500 0.2500 0.2500
0.7500 0.7500 0.7500
0.0000 0.0000 0.0000
0.5000 0.5000 0.5000
```

=====

# 10
## Fe2ReAg (PBE-GGA)

Data for a relaxed Fe2ReAg crystal.

Results
The excess energy over the best structure of this formula in the dataset is 0.003 eV per atom. As for the total energy: -31.0 eV/cell. Its space-group type is P4/mmm (123). As for the total moment: 3.82 μB per formula unit. The volume is 13.960 Å³ per atom.

```
Fe2ReAg
1.0
2.6872 0.0000 0.0000
0.0000 2.6872 0.0000
0.0000 0.0000 7.7331
Fe Re Ag
2 1 1
Direct
0.0000 0.0000 0.2316
0.0000 0.0000 0.7684
0.5000 0.5000 0.0000
0.5000 0.5000 0.5000
```

=====

# 11
## FeReAg2 (PBE-GGA)

Data for a relaxed FeReAg2 crystal.

Results
The excess energy over the best structure of this formula in the dataset is 0.000 eV per atom. As for the total energy: -25.2 eV/cell. Its space-group type is R3m (160). As for the total moment: 0.83 μB per formula unit. The volume is 15.358 Å³ per atom.

```
FeReAg2
1.0
1.3814 0.7976 9.2929
-1.3814 0.7976 9.2929
0.0000 -1.5951 9.2929
Fe Re Ag
1 1 2
Direct
0.0000 0.0000 0.0000
0.7350 0.7350 0.7350
0.2501 0.2501 0.2501
0.4926 0.4926 0.4926
```

=====

# 12
## FeReAg2 (PBE-GGA)

Data for a relaxed FeReAg2 crystal.

Results
The excess energy over the best structure of this formula in the dataset is 0.326 eV per atom. As for the total energy: -23.9 eV/cell. Its space-group type is Imm2 (44). As for the total moment: 2.28 μB per formula unit. The volume is 15.912 Å³ per atom.

```
FeReAg2
1.0
-1.4157 2.3939 4.6953
1.4157 -2.3939 4.6953
1.4157 2.3939 -4.6953
Fe Re Ag
1 1 2
Direct
0.0000 0.0000 0.0000
0.2032 0.7032 0.5000
0.4767 0.4767 0.0000
0.7508 0.2508 0.5000
```

=====

# 13
## FeReAg (PBE-GGA)

Data for a relaxed FeReAg crystal.

Results
The excess energy over the best structure of this formula in the dataset is 0.000 eV per atom. As for the total energy: -22.6 eV/cell. Its space-group type is P3m1 (156). As for the total moment: 0.73 μB per formula unit. The volume is 14.650 Å³ per atom.

```
FeReAg
1.0
2.7271 0.0000 0.0000
-1.3636 2.3618 0.0000
0.0000 0.0000 6.8239
Fe Re Ag
1 1 1
Direct
0.0000 0.0000 0.0000
0.3333 0.6667 0.2817
0.6667 0.3333 0.6575
```

=====

# 14
## FeReAg2 (PBE-GGA)

Data for a relaxed FeReAg2 crystal.

Results
The excess energy over the best structure of this formula in the dataset is 0.300 eV per atom. As for the total energy: -24.0 eV/cell. Its space-group type is Cmmm (65). As for the total moment: 3.26 μB per formula unit. The volume is 15.632 Å³ per atom.

```
FeReAg2
1.0
2.7067 -4.3925 0.0000
2.7067 4.3925 0.0000
0.0000 0.0000 2.6296
Fe Re Ag
1 1 2
Direct
0.0000 0.0000 0.0000
0.5000 0.5000 0.0000
0.0000 0.5000 0.5000
0.5000 0.0000 0.5000
```

=====

# 15
## TiFe2ReAg (PBE-GGA)

Data for a relaxed TiFe2ReAg crystal.

Results
As for the total energy: -30.4 eV/cell. Its space-group type is P4/mmm (123). As for the total moment: 6.29 μB per formula unit. The volume is 19.237 Å³ per atom.

```
TiFe2ReAg
1.0
4.5136 0.0000 0.0000
0.0000 4.5136 0.0000
0.0000 0.0000 4.7214
Ti Fe Re Ag
1 2 1 1
Direct
0.0000 0.0000 0.0000
0.0000 0.5000 0.5000
0.5000 0.0000 0.5000
0.5000 0.5000 0.0000
0.0000 0.0000 0.5000
```

=====

# 16
## Fe2ReAgW (PBE-GGA)

Data for a relaxed Fe2ReAgW crystal.

Results
As for the total energy: -34.1 eV/cell. Its space-group type is P4/mmm (123). As for the total moment: 0.00 μB per formula unit. The volume is 18.152 Å³ per atom.

```
Fe2ReAgW
1.0
4.3081 0.0000 0.0000
0.0000 4.3081 0.0000
0.0000 0.0000 4.8903
Fe Re Ag W
2 1 1 1
Direct
0.0000 0.5000 0.0000
0.5000 0.0000 0.0000
0.0000 0.0000 0.0000
0.0000 0.0000 0.5000
0.5000 0.5000 0.5000
```

=====

# 17
## Fe2AgRh2 (PBE-GGA)

Data for a relaxed Fe2AgRh2 crystal.

Results
The excess energy over the best structure of this formula in the dataset is 0.002 eV per atom. As for the total energy: -67.5 eV/cell. Its space-group type is P4/mbm (127). As for the total moment: 7.53 μB per formula unit. The volume is 14.769 Å³ per atom.

```
Fe2AgRh2
1.0
7.2536 0.0000 0.0000
0.0000 7.2536 0.0000
0.0000 0.0000 2.8071
Fe Ag Rh
4 2 4
Direct
0.1412 0.3588 0.0000
0.3588 0.8588 0.0000
0.6412 0.1412 0.0000
0.8588 0.6412 0.0000
0.0000 0.0000 0.0000
0.5000 0.5000 0.0000
0.1529 0.6529 0.5000
0.3471 0.1529 0.5000
0.6529 0.8471 0.5000
0.8471 0.3471 0.5000
```

=====

# 18
## FeAg2Rh (PBE-GGA)

Data for a relaxed FeAg2Rh crystal.

Results
The excess energy over the best structure of this formula in the dataset is 0.122 eV per atom. As for the total energy: -20.4 eV/cell. Its space-group type is Cm (8). As for the total moment: 3.69 μB per formula unit. The volume is 15.695 Å³ per atom.

```
FeAg2Rh
1.0
4.5588 -1.4375 0.0000
4.5588 1.4375 0.0000
-1.0835 0.0000 4.7901
Fe Ag Rh
1 2 1
Direct
0.0000 0.0000 0.0000
0.5107 0.5107 0.5238
0.7512 0.7512 0.2824
0.2698 0.2698 0.8082
```

=====

# 19
## FeAg2Rh (PBE-GGA)

Data for a relaxed FeAg2Rh crystal.

Results
The excess energy over the best structure of this formula in the dataset is 0.000 eV per atom. As for the total energy: -20.9 eV/cell. Its space-group type is Pm (6). As for the total moment: 3.79 μB per formula unit. The volume is 15.776 Å³ per atom.

```
FeAg2Rh
1.0
2.8952 0.0000 0.0000
0.0000 2.9097 0.0000
-0.0151 0.0000 7.4909
Fe Ag Rh
1 2 1
Direct
0.0000 0.0000 0.0000
0.4996 0.5000 0.2547
0.9989 0.0000 0.5336
0.4994 0.5000 0.8059
```

=====

# 20
## Fe2AgRh (PBE-GGA)

Data for a relaxed Fe2AgRh crystal.

Results
As for the total energy: -26.3 eV/cell. Its space-group type is Cm (8). As for the total moment: 6.15 μB per formula unit. The volume is 14.091 Å³ per atom.

```
Fe2AgRh
1.0
4.5708 -1.3876 0.0000
4.5708 1.3876 0.0000
-1.2765 0.0000 4.4432
Fe Ag Rh
2 1 1
Direct
0.0000 0.0000 0.0000
0.7243 0.7243 0.2644
0.2410 0.2410 0.7729
0.4717 0.4717 0.4707
```

=====

# 21
## FeAgRh2 (PBE-GGA)

Data for a relaxed FeAgRh2 crystal.

Results
The excess energy over the best structure of this formula in the dataset is 0.106 eV per atom. As for the total energy: -25.2 eV/cell. Its space-group type is Pmm2 (25). As for the total moment: 3.52 μB per formula unit. The volume is 14.744 Å³ per atom.

```
FeAgRh2
1.0
2.7511 0.0000 0.0000
0.0000 3.8205 0.0000
0.0000 0.0000 5.6111
Fe Ag Rh
1 1 2
Direct
0.0000 0.0000 0.0000
0.5000 0.5000 0.7305
0.0000 0.0000 0.4566
0.5000 0.5000 0.2204
```

=====

# 22
## Fe2Ag2Rh (PBE-GGA)

Data for a relaxed Fe2Ag2Rh crystal.

Results
The excess energy over the best structure of this formula in the dataset is 0.187 eV per atom. As for the total energy: -26.7 eV/cell. Its space-group type is I4/mmm (139). As for the total moment: 6.77 μB per formula unit. The volume is 16.477 Å³ per atom.

```
Fe2Ag2Rh
1.0
-1.8377 1.8377 6.0985
1.8377 -1.8377 6.0985
1.8377 1.8377 -6.0985
Fe Ag Rh
2 2 1
Direct
0.0869 0.0869 0.0000
0.9131 0.9131 0.0000
0.2500 0.7500 0.5000
0.7500 0.2500 0.5000
0.5000 0.5000 0.0000
```

=====

# 23
## Fe2AgRh (PBE-GGA)

Data for a relaxed Fe2AgRh crystal.

Results
As for the total energy: -26.1 eV/cell. Its space-group type is I-4m2 (119). As for the total moment: 6.65 μB per formula unit. The volume is 14.202 Å³ per atom.

```
Fe2AgRh
1.0
-1.9085 1.9085 3.8992
1.9085 -1.9085 3.8992
1.9085 1.9085 -3.8992
Fe Ag Rh
2 1 1
Direct
0.0000 0.0000 0.0000
0.7500 0.2500 0.5000
0.5000 0.5000 0.0000
0.2500 0.7500 0.5000
```

=====

# 24
## FeAgRh2 (PBE-GGA)

Data for a relaxed FeAgRh2 crystal.

Results
The excess energy over the best structure of this formula in the dataset is 0.100 eV per atom. As for the total energy: -25.3 eV/cell. Its space-group type is R3m (160). As for the total moment: 2.09 μB per formula unit. The volume is 14.620 Å³ per atom.

```
FeAgRh2
1.0
1.3714 0.7918 8.9757
-1.3714 0.7918 8.9757
0.0000 -1.5836 8.9757
Fe Ag Rh
1 1 2
Direct
0.0000 0.0000 0.0000
0.2475 0.2475 0.2475
0.4911 0.4911 0.4911
0.7420 0.7420 0.7420
```

=====

# 25
## Fe2AgRh (PBE-GGA)

Data for a relaxed Fe2AgRh crystal.

Results
As for the total energy: -25.9 eV/cell. Its space-group type is F-43m (216). As for the total moment: 6.43 μB per formula unit. The volume is 14.285 Å³ per atom.

```
Fe2AgRh
1.0
0.0000 3.0571 3.0571
3.0571 0.0000 3.0571
3.0571 3.0571 0.0000
Fe Ag Rh
2 1 1
Direct
0.0000 0.0000 0.0000
0.2500 0.2500 0.2500
0.5000 0.5000 0.5000
0.7500 0.7500 0.7500
```

=====

# 26
## FeAg3Rh (PBE-GGA)

Data for a relaxed FeAg3Rh crystal.

Results
The excess energy over the best structure of this formula in the dataset is 0.000 eV per atom. As for the total energy: -17.8 eV/cell. Its space-group type is Pm-3m (221). As for the total moment: 3.74 μB per formula unit. The volume is 20.909 Å³ per atom.

```
FeAg3Rh
1.0
4.7108 0.0000 0.0000
0.0000 4.7108 0.0000
0.0000 0.0000 4.7108
Fe Ag Rh
1 3 1
Direct
0.0000 0.0000 0.0000
0.0000 0.0000 0.5000
0.0000 0.5000 0.0000
0.5000 0.0000 0.0000
0.5000 0.5000 0.5000
```

=====

# 27
## Fe2AgRh (PBE-GGA)

Data for a relaxed Fe2AgRh crystal.

Results
As for the total energy: -26.3 eV/cell. Its space-group type is I4/mmm (139). As for the total moment: 6.69 μB per formula unit. The volume is 14.138 Å³ per atom.

```
Fe2AgRh
1.0
-1.9463 1.9463 3.7324
1.9463 -1.9463 3.7324
1.9463 1.9463 -3.7324
Fe Ag Rh
2 1 1
Direct
0.2500 0.7500 0.5000
0.7500 0.2500 0.5000
0.0000 0.0000 0.0000
0.5000 0.5000 0.0000
```

=====

# 28
## Fe2AgRh (PBE-GGA)

Data for a relaxed Fe2AgRh crystal.

Results
As for the total energy: -26.2 eV/cell. Its space-group type is R-3m (166). As for the total moment: 6.51 μB per formula unit. The volume is 14.301 Å³ per atom.

```
Fe2AgRh
1.0
1.3587 0.7844 8.9457
-1.3587 0.7844 8.9457
0.0000 -1.5688 8.9457
Fe Ag Rh
2 1 1
Direct
0.2461 0.2461 0.2461
0.7539 0.7539 0.7539
0.0000 0.0000 0.0000
0.5000 0.5000 0.5000
```

=====

# 29
## FeAg2Rh (PBE-GGA)

Data for a relaxed FeAg2Rh crystal.

Results
The excess energy over the best structure of this formula in the dataset is 0.223 eV per atom. As for the total energy: -20.0 eV/cell. Its space-group type is Cmmm (65). As for the total moment: 3.38 μB per formula unit. The volume is 15.668 Å³ per atom.

```
FeAg2Rh
1.0
1.4342 -2.3038 0.0000
1.4342 2.3038 0.0000
0.0000 0.0000 9.4834
Fe Ag Rh
1 2 1
Direct
0.0000 0.0000 0.0000
0.5000 0.5000 0.2442
0.5000 0.5000 0.7558
0.0000 0.0000 0.5000
```